# DySnTe2

A relaxed structure of DySnTe2 (GGA-PBE, OQMD).

Results
total DFT energy (no corrections)	-4.214	eV/atom
spin magnetization	0.02	Bohr magnetons per cell

abc: 4.3818 26.6669 4.3828
angles: 90.00 90.00 90.00
Closest atoms and distances in Å follow each position.
Space group Cmcm (No. 63)
Unique sites:
Dy 0.0000 0.1585 0.2500 [4 per cell]  1 Sn 3.10, 4 Te 3.12
Sn 0.0000 0.2747 0.2500 [4 per cell]  1 Dy 3.10, 4 Sn 3.37
Te 0.0000 0.0752 0.7500 [4 per cell]  4 Te 3.10, 2 Dy 3.12
Te 0.0000 0.4246 0.7500 [4 per cell]  4 Te 3.10, 2 Dy 3.12